Entry 1:
Compound: SmSnPdAu
Source: Alexandria
Functional: GGA-PBE
Structure: optimized geometry

Unit cell a=6.990 b=6.990 c=6.990 alpha=90.00 beta=90.00 gamma=90.00
Space group F-43m (No. 216)
One atom of each set of equivalent atoms:
Sm: 0.000 0.000 0.000 [4 per cell]
Sn: 0.000 0.000 0.500 [4 per cell]
Pd: 0.250 0.250 0.250 [4 per cell]
Au: 0.250 0.250 0.750 [4 per cell]

Properties
Size of the total moment = 0.00 μB per cell
Mass density = 11.13 g/cm³
Total energy = -5.037 eV per atom

---

Entry 2:
Compound: SrAcTlSn
Source: Alexandria
Functional: GGA-PBE
Structure: optimized geometry

Unit cell a=8.187 b=8.187 c=8.187 alpha=90.00 beta=90.00 gamma=90.00
Space group F-43m (No. 216)
One atom of each set of equivalent atoms:
Sr: 0.000 0.000 0.000 [4 per cell]
Ac: 0.000 0.000 0.500 [4 per cell]
Tl: 0.250 0.250 0.750 [4 per cell]
Sn: 0.250 0.250 0.250 [4 per cell]

Properties
Size of the total moment = 0.00 μB per cell
Mass density = 7.72 g/cm³
E above lowest polymorph = 5.4 kJ per mole of atoms
Total energy = -3.538 eV per atom

---

Energy of formation list, top to bottom, in kJ/mol of formula units: -285 -192